# TlP2Pb

An optimized crystal structure of TlP2Pb (PBE, Alexandria). Values from VASP.

```
&SYSTEM
  ibrav = 0, nat = 8, ntyp = 3
/
ATOMIC_SPECIES
Tl 204.38 Tl.upf
P 30.97 P.upf
Pb 207.20 Pb.upf
CELL_PARAMETERS angstrom
7.0127 0.0000 0.0000
0.0000 4.0422 0.0000
-2.3443 0.0000 6.6613
ATOMIC_POSITIONS crystal
Tl 0.0000 0.0000 0.0000
Tl 0.5000 0.5000 0.0000
P 0.2493 0.5000 0.2478
P 0.2507 0.0000 0.7522
P 0.7493 0.0000 0.2478
P 0.7507 0.5000 0.7522
Pb 0.0000 0.5000 0.5000
Pb 0.5000 0.0000 0.5000
```

Calculated formation energy, eV/atom: 0.2862
E, eV/atom: -3.94
Symmetry: C2/m
Excess energy over the best structure of this formula in the dataset, eV per atom: 0.2034